1.
First-principles (PBE-GGA) data for a relaxed BaCdTc crystal, as listed in Alexandria via LeMat-Bulk.

Its crystal system is trigonal. The formation energy from the elements comes out at 937 meV/atom.

The space group is P3m1 (No. 156) and the conventional cell measures 3.3190, 3.3190 and 7.9496 Å, with angles of 90.00, 90.00 and 120.00 degrees. The inequivalent atoms are Ba at (0.0000, 0.0000, 0.0000), Cd at (0.6667, 0.3333, 0.4047) and Tc at (0.3333, 0.6667, 0.6764).

=====

2.
First-principles (PBE-GGA) data for a relaxed Pm7Nd3Dy crystal, as listed in Alexandria via LeMat-Bulk.

Its crystal system is monoclinic. The formation energy from the elements comes out at 227 meV/atom.

The space group is C2/m (No. 12) and the conventional cell measures 11.808, 10.255 and 6.510 Å, with angles of 90.00, 94.83 and 90.00 degrees. The inequivalent atoms are Pm at (0.000, 0.000, 0.000), Pm at (0.240, 0.500, 0.214), Pm at (0.244, 0.172, 0.261), Nd at (0.000, 0.328, 0.000), Nd at (0.000, 0.500, 0.500) and Dy at (0.000, 0.000, 0.500).

=====

3.
First-principles (PBE-GGA) data for a relaxed La6TbGa2 crystal, as listed in Alexandria via LeMat-Bulk.

Its crystal system is monoclinic. The formation energy from the elements comes out at -249 meV/atom.

The space group is C2/m (No. 12) and the conventional cell measures 13.127, 3.831 and 12.073 Å, with angles of 90.00, 109.01 and 90.00 degrees. The inequivalent atoms are La at (0.033, 0.000, 0.326), La at (0.183, 0.500, 0.876), La at (0.194, 0.500, 0.601), Tb at (0.000, 0.000, 0.000) and Ga at (0.144, 0.500, 0.184).